! Cd4Pb5 | the Alexandria database | PBE-GGA | relaxed; values from VASP
&SYSTEM
  ibrav = 0, nat = 18, ntyp = 2
/
ATOMIC_SPECIES
Cd 112.41 Cd.upf
Pb 207.20 Pb.upf
CELL_PARAMETERS angstrom
9.487 0.000 0.000
-4.744 8.216 0.000
0.000 0.000 6.581
ATOMIC_POSITIONS crystal
Cd 0.362 0.000 0.250
Pb 0.300 0.000 0.750
Pb 0.000 0.700 0.250
Cd 0.638 0.638 0.250
Pb 0.700 0.000 0.250
Cd 0.362 0.362 0.750
Pb 0.333 0.667 0.500
Cd 0.638 0.000 0.750
Pb 0.667 0.333 0.500
Pb 0.300 0.300 0.250
Pb 0.000 0.300 0.750
Cd 0.000 0.000 0.500
Pb 0.667 0.333 0.000
Pb 0.700 0.700 0.750
Pb 0.333 0.667 0.000
Cd 0.000 0.362 0.250
Cd 0.000 0.000 0.000
Cd 0.000 0.638 0.750
! energy of formation from the pure elements: 0.08 eV/atom
! space group: No. 193

=====

! Cd12Pb | the Alexandria database | PBE-GGA | relaxed; values from VASP
&SYSTEM
  ibrav = 0, nat = 13, ntyp = 2
/
ATOMIC_SPECIES
Cd 112.41 Cd.upf
Pb 207.20 Pb.upf
CELL_PARAMETERS angstrom
-1.505 0.272 -5.880
-6.754 -3.480 -1.571
-4.191 6.283 -1.776
ATOMIC_POSITIONS crystal
Cd 0.500 0.784 0.216
Cd 0.716 0.784 0.784
Cd 0.648 0.352 0.352
Cd 0.000 0.648 0.352
Cd 0.500 0.500 0.000
Cd 0.000 0.000 0.500
Cd 0.000 0.352 0.648
Cd 0.000 0.500 0.000
Cd 0.500 0.000 0.500
Cd 0.352 0.648 0.648
Cd 0.500 0.216 0.784
Pb 0.000 0.000 0.000
Cd 0.284 0.216 0.216
! energy of formation from the pure elements: 0.04 eV/atom
! space group: No. 139

=====

! CdPb | the Alexandria database | PBE-GGA | relaxed; values from VASP
&SYSTEM
  ibrav = 0, nat = 8, ntyp = 2
/
ATOMIC_SPECIES
Cd 112.41 Cd.upf
Pb 207.20 Pb.upf
CELL_PARAMETERS angstrom
2.790 -4.832 0.000
2.790 4.832 0.000
0.000 0.000 8.948
ATOMIC_POSITIONS crystal
Cd 0.333 0.667 0.086
Pb 0.000 0.000 0.250
Pb 0.000 0.000 0.750
Cd 0.667 0.333 0.586
Cd 0.667 0.333 0.914
Pb 0.667 0.333 0.250
Cd 0.333 0.667 0.414
Pb 0.333 0.667 0.750
! energy of formation from the pure elements: 0.15 eV/atom
! space group: No. 194

=====

! Cd3Pb | the Alexandria database | PBE-GGA | relaxed; values from VASP
&SYSTEM
  ibrav = 0, nat = 4, ntyp = 2
/
ATOMIC_SPECIES
Cd 112.41 Cd.upf
Pb 207.20 Pb.upf
CELL_PARAMETERS angstrom
5.862 0.164 0.106
4.987 3.086 0.106
1.180 0.354 5.943
ATOMIC_POSITIONS crystal
Cd 0.500 0.500 0.500
Pb 0.000 0.000 0.000
Cd 0.240 0.240 0.266
Cd 0.760 0.760 0.734
! energy of formation from the pure elements: 0.05 eV/atom
! space group: No. 12

=====

! CdPb3 | the Alexandria database | PBE-GGA | relaxed; values from VASP
&SYSTEM
  ibrav = 0, nat = 4, ntyp = 2
/
ATOMIC_SPECIES
Pb 207.20 Pb.upf
Cd 112.41 Cd.upf
CELL_PARAMETERS angstrom
-10.185 -4.807 4.629
-8.119 -5.464 7.245
-9.653 -2.441 7.009
ATOMIC_POSITIONS crystal
Pb 0.500 0.500 0.500
Pb 0.255 0.255 0.255
Pb 0.745 0.745 0.745
Cd 0.000 0.000 0.000
! energy of formation from the pure elements: 0.03 eV/atom
! space group: No. 166

=====

! Cd5Pb3 | the Alexandria database | PBE-GGA | relaxed; values from VASP
&SYSTEM
  ibrav = 0, nat = 16, ntyp = 2
/
ATOMIC_SPECIES
Cd 112.41 Cd.upf
Pb 207.20 Pb.upf
CELL_PARAMETERS angstrom
9.375 0.000 0.000
-4.687 8.119 0.000
0.000 0.000 5.813
ATOMIC_POSITIONS crystal
Cd 0.333 0.667 0.000
Pb 0.602 0.602 0.750
Cd 0.803 0.000 0.750
Pb 0.602 0.000 0.250
Pb 0.398 0.000 0.750
Cd 0.197 0.197 0.750
Cd 0.803 0.803 0.250
Cd 0.197 0.000 0.250
Cd 0.667 0.333 0.500
Cd 0.000 0.803 0.750
Cd 0.000 0.197 0.250
Pb 0.398 0.398 0.250
Cd 0.667 0.333 0.000
Cd 0.333 0.667 0.500
Pb 0.000 0.398 0.750
Pb 0.000 0.602 0.250
! energy of formation from the pure elements: 0.09 eV/atom
! space group: No. 193

=====

! Cd5Pb4 | the Alexandria database | PBE-GGA | relaxed; values from VASP
&SYSTEM
  ibrav = 0, nat = 9, ntyp = 2
/
ATOMIC_SPECIES
Pb 207.20 Pb.upf
Cd 112.41 Cd.upf
CELL_PARAMETERS angstrom
-0.910 -3.239 0.187
7.515 -3.719 2.494
-2.645 -0.529 8.321
ATOMIC_POSITIONS crystal
Pb 0.680 0.320 0.320
Pb 0.000 0.680 0.320
Cd 0.336 0.000 0.329
Cd 0.664 0.671 0.000
Cd 0.336 0.329 0.000
Pb 0.000 0.320 0.680
Cd 0.000 0.000 0.000
Pb 0.320 0.680 0.680
Cd 0.664 0.000 0.671
! energy of formation from the pure elements: 0.06 eV/atom
! space group: No. 139

=====

! CdPb | the Alexandria database | PBE-GGA | relaxed; values from VASP
&SYSTEM
  ibrav = 0, nat = 16, ntyp = 2
/
ATOMIC_SPECIES
Pb 207.20 Pb.upf
Cd 112.41 Cd.upf
CELL_PARAMETERS angstrom
11.191 0.000 0.000
0.000 11.191 0.000
0.000 0.000 3.653
ATOMIC_POSITIONS crystal
Pb 0.173 0.861 0.000
Cd 0.032 0.654 0.500
Cd 0.468 0.846 0.000
Cd 0.968 0.346 0.500
Cd 0.654 0.968 0.500
Cd 0.154 0.468 0.000
Pb 0.639 0.673 0.500
Pb 0.139 0.173 0.000
Pb 0.827 0.139 0.000
Pb 0.861 0.827 0.000
Pb 0.361 0.327 0.500
Cd 0.846 0.532 0.000
Pb 0.673 0.361 0.500
Cd 0.346 0.032 0.500
Cd 0.532 0.154 0.000
Pb 0.327 0.639 0.500
! energy of formation from the pure elements: 0.05 eV/atom
! space group: No. 87

=====

! Cd2Pb | the Alexandria database | PBE-GGA | relaxed; values from VASP
&SYSTEM
  ibrav = 0, nat = 3, ntyp = 2
/
ATOMIC_SPECIES
Pb 207.20 Pb.upf
Cd 112.41 Cd.upf
CELL_PARAMETERS angstrom
5.161 0.000 0.000
-2.580 4.469 0.000
0.000 0.000 3.473
ATOMIC_POSITIONS crystal
Pb 0.000 0.000 0.000
Cd 0.667 0.333 0.500
Cd 0.333 0.667 0.500
! energy of formation from the pure elements: 0.08 eV/atom
! space group: No. 191

=====

! Cd5Pb | the Alexandria database | PBE-GGA | relaxed; values from VASP
&SYSTEM
  ibrav = 0, nat = 6, ntyp = 2
/
ATOMIC_SPECIES
Cd 112.41 Cd.upf
Pb 207.20 Pb.upf
CELL_PARAMETERS angstrom
3.119 0.000 0.000
-1.560 6.919 0.401
0.000 -2.132 6.677
ATOMIC_POSITIONS crystal
Cd 0.028 0.057 0.540
Cd 0.362 0.724 0.241
Cd 0.372 0.743 0.716
Pb 0.695 0.390 0.890
Cd 0.016 0.032 0.059
Cd 0.694 0.388 0.388
! energy of formation from the pure elements: 0.03 eV/atom
! space group: No. 8

=====

! Cd2Pb | the Alexandria database | PBE-GGA | relaxed; values from VASP
&SYSTEM
  ibrav = 0, nat = 24, ntyp = 2
/
ATOMIC_SPECIES
Pb 207.20 Pb.upf
Cd 112.41 Cd.upf
CELL_PARAMETERS angstrom
6.147 0.000 0.000
-3.073 5.323 0.000
0.000 0.000 19.086
ATOMIC_POSITIONS crystal
Pb 0.000 0.000 0.404
Pb 0.333 0.667 0.156
Pb 0.000 0.000 0.096
Pb 0.667 0.333 0.656
Cd 0.838 0.162 0.250
Cd 0.500 0.500 0.500
Cd 0.000 0.500 0.500
Cd 0.676 0.838 0.750
Cd 0.500 0.000 0.000
Cd 0.324 0.162 0.250
Cd 0.162 0.324 0.750
Pb 0.333 0.667 0.344
Cd 0.000 0.500 0.000
Cd 0.333 0.667 0.626
Pb 0.667 0.333 0.844
Cd 0.667 0.333 0.374
Cd 0.500 0.500 0.000
Pb 0.000 0.000 0.596
Cd 0.667 0.333 0.126
Cd 0.162 0.838 0.750
Pb 0.000 0.000 0.904
Cd 0.500 0.000 0.500
Cd 0.838 0.676 0.250
Cd 0.333 0.667 0.874
! energy of formation from the pure elements: 0.03 eV/atom
! space group: No. 194

=====

! CdPb | the Alexandria database | PBE-GGA | relaxed; values from VASP
&SYSTEM
  ibrav = 0, nat = 8, ntyp = 2
/
ATOMIC_SPECIES
Cd 112.41 Cd.upf
Pb 207.20 Pb.upf
CELL_PARAMETERS angstrom
-2.790 5.016 0.451
-5.039 -3.085 3.127
2.586 0.977 5.132
ATOMIC_POSITIONS crystal
Cd 0.250 0.375 0.447
Pb 0.750 0.378 0.055
Cd 0.750 0.875 0.053
Pb 0.250 0.622 0.945
Cd 0.250 0.125 0.947
Pb 0.750 0.122 0.555
Cd 0.750 0.625 0.553
Pb 0.250 0.878 0.445
! energy of formation from the pure elements: 0.05 eV/atom
! space group: No. 62

=====

! Cd3Pb | the Alexandria database | PBE-GGA | relaxed; values from VASP
&SYSTEM
  ibrav = 0, nat = 4, ntyp = 2
/
ATOMIC_SPECIES
Cd 112.41 Cd.upf
Pb 207.20 Pb.upf
CELL_PARAMETERS angstrom
-1.039 1.964 -2.614
-2.308 -1.400 2.118
0.497 8.220 5.976
ATOMIC_POSITIONS crystal
Cd 0.333 0.667 0.000
Cd 0.000 0.000 0.233
Cd 0.000 0.000 0.767
Pb 0.667 0.333 0.500
! energy of formation from the pure elements: 0.05 eV/atom
! space group: No. 187

=====

! CdPb | the Alexandria database | PBE-GGA | relaxed; values from VASP
&SYSTEM
  ibrav = 0, nat = 4, ntyp = 2
/
ATOMIC_SPECIES
Cd 112.41 Cd.upf
Pb 207.20 Pb.upf
CELL_PARAMETERS angstrom
-5.772 -1.801 0.584
-2.377 -2.436 -5.031
5.102 -0.864 3.182
ATOMIC_POSITIONS crystal
Cd 0.000 0.000 0.000
Pb 0.500 0.500 0.000
Pb 0.750 0.250 0.500
Cd 0.250 0.750 0.500
! energy of formation from the pure elements: 0.05 eV/atom
! space group: No. 141

=====

! CdPdPb4 | the Alexandria database | PBE-GGA | relaxed; values from VASP
&SYSTEM
  ibrav = 0, nat = 12, ntyp = 3
/
ATOMIC_SPECIES
Pb 207.20 Pb.upf
Pd 106.42 Pd.upf
Cd 112.41 Cd.upf
CELL_PARAMETERS angstrom
6.482 0.000 -3.306
-1.687 6.258 -3.306
0.008 0.011 8.023
ATOMIC_POSITIONS crystal
Pb 0.199 0.699 0.717
Pb 0.982 0.801 0.283
Pb 0.482 0.982 0.283
Pb 0.301 0.482 0.283
Pb 0.518 0.018 0.717
Pd 0.750 0.750 0.500
Pb 0.018 0.199 0.717
Cd 0.000 0.000 0.000
Pb 0.801 0.301 0.283
Cd 0.500 0.500 0.000
Pb 0.699 0.518 0.717
Pd 0.250 0.250 0.500
! energy of formation from the pure elements: -0.09 eV/atom
! space group: No. 140

=====

! CdPd6Pb | the Alexandria database | PBE-GGA | relaxed; values from VASP
&SYSTEM
  ibrav = 0, nat = 8, ntyp = 3
/
ATOMIC_SPECIES
Pd 106.42 Pd.upf
Pb 207.20 Pb.upf
Cd 112.41 Cd.upf
CELL_PARAMETERS angstrom
4.087 0.000 0.000
0.000 4.087 0.000
0.000 0.000 8.068
ATOMIC_POSITIONS crystal
Pd 0.500 0.000 0.754
Pd 0.500 0.500 0.500
Pb 0.000 0.000 0.500
Cd 0.000 0.000 0.000
Pd 0.000 0.500 0.246
Pd 0.000 0.500 0.754
Pd 0.500 0.500 0.000
Pd 0.500 0.000 0.246
! energy of formation from the pure elements: -0.25 eV/atom
! space group: No. 123

=====

! Cd2Pd9Pb | the Alexandria database | PBE-GGA | relaxed; values from VASP
&SYSTEM
  ibrav = 0, nat = 12, ntyp = 3
/
ATOMIC_SPECIES
Pd 106.42 Pd.upf
Cd 112.41 Cd.upf
Pb 207.20 Pb.upf
CELL_PARAMETERS angstrom
-1.500 -3.704 0.773
0.910 -1.160 -3.794
10.912 -3.640 3.732
ATOMIC_POSITIONS crystal
Pd 0.500 0.500 0.335
Pd 0.500 0.500 0.665
Pd 0.000 0.500 0.500
Pd 0.500 0.000 0.170
Pd 0.000 0.500 0.170
Cd 0.000 0.000 0.664
Pd 0.500 0.000 0.830
Pd 0.500 0.000 0.500
Cd 0.000 0.000 0.336
Pb 0.000 0.000 0.000
Pd 0.500 0.500 0.000
Pd 0.000 0.500 0.830
! energy of formation from the pure elements: -0.24 eV/atom
! space group: No. 123

=====

! Cd6Pd12Pb | the Alexandria database | PBE-GGA | relaxed; values from VASP
&SYSTEM
  ibrav = 0, nat = 19, ntyp = 3
/
ATOMIC_SPECIES
Pd 106.42 Pd.upf
Cd 112.41 Cd.upf
Pb 207.20 Pb.upf
CELL_PARAMETERS angstrom
-2.613 -6.610 -1.029
1.496 -0.107 7.023
-5.984 3.968 -0.150
ATOMIC_POSITIONS crystal
Pd 0.182 0.592 0.592
Cd 0.824 0.556 0.823
Pd 0.592 0.592 0.182
Cd 0.177 0.176 0.444
Cd 0.444 0.177 0.176
Cd 0.176 0.444 0.177
Pd 0.818 0.408 0.408
Pd 0.000 0.741 0.259
Pd 0.408 0.408 0.818
Cd 0.556 0.823 0.824
Pd 0.408 0.818 0.408
Pd 0.000 0.259 0.741
Pd 0.259 0.000 0.741
Pd 0.741 0.000 0.259
Pd 0.259 0.741 0.000
Pd 0.741 0.259 0.000
Cd 0.823 0.824 0.556
Pd 0.592 0.182 0.592
Pb 0.000 0.000 0.000
! energy of formation from the pure elements: -0.14 eV/atom
! space group: No. 166

=====

! CdPd3Pb5 | the Alexandria database | PBE-GGA | relaxed; values from VASP
&SYSTEM
  ibrav = 0, nat = 18, ntyp = 3
/
ATOMIC_SPECIES
Pd 106.42 Pd.upf
Pb 207.20 Pb.upf
Cd 112.41 Cd.upf
CELL_PARAMETERS angstrom
7.687 -0.246 0.728
1.867 7.460 0.728
3.700 2.794 9.207
ATOMIC_POSITIONS crystal
Pd 0.000 0.000 0.000
Pb 0.387 0.951 0.342
Pb 0.571 0.571 0.635
Pb 0.277 0.723 0.000
Pd 0.344 0.344 0.167
Pd 0.000 0.000 0.500
Cd 0.912 0.912 0.311
Pb 0.231 0.231 0.998
Pb 0.769 0.769 0.002
Pb 0.049 0.613 0.658
Pd 0.684 0.684 0.312
Cd 0.088 0.088 0.689
Pb 0.723 0.277 0.000
Pb 0.951 0.387 0.342
Pb 0.429 0.429 0.365
Pd 0.316 0.316 0.688
Pd 0.656 0.656 0.833
Pb 0.613 0.049 0.658
! energy of formation from the pure elements: -0.08 eV/atom
! space group: No. 12

=====

! CdPd3Pb3 | the Alexandria database | PBE-GGA | relaxed; values from VASP
&SYSTEM
  ibrav = 0, nat = 14, ntyp = 3
/
ATOMIC_SPECIES
Pb 207.20 Pb.upf
Pd 106.42 Pd.upf
Cd 112.41 Cd.upf
CELL_PARAMETERS angstrom
6.587 0.875 0.378
-2.152 6.287 0.378
-0.269 -0.435 7.316
ATOMIC_POSITIONS crystal
Pb 0.605 0.605 0.318
Pd 0.494 0.000 0.713
Pd 0.506 0.000 0.287
Pb 0.753 0.247 0.000
Pd 0.000 0.506 0.287
Pb 0.247 0.753 0.000
Pd 0.000 0.494 0.713
Pb 0.160 0.840 0.500
Cd 0.741 0.741 0.857
Pd 0.076 0.076 0.818
Pb 0.840 0.160 0.500
Pd 0.924 0.924 0.182
Cd 0.259 0.259 0.143
Pb 0.395 0.395 0.682
! energy of formation from the pure elements: -0.16 eV/atom
! space group: No. 12

=====

! CdPd7Pb2 | the Alexandria database | PBE-GGA | relaxed; values from VASP
&SYSTEM
  ibrav = 0, nat = 10, ntyp = 3
/
ATOMIC_SPECIES
Cd 112.41 Cd.upf
Pb 207.20 Pb.upf
Pd 106.42 Pd.upf
CELL_PARAMETERS angstrom
-0.860 3.902 -0.559
-7.939 -1.874 -0.864
3.828 1.848 7.016
ATOMIC_POSITIONS crystal
Cd 0.000 0.000 0.000
Pb 0.500 0.691 0.309
Pd 0.500 0.283 0.088
Pd 0.000 0.188 0.812
Pd 0.500 0.912 0.717
Pd 0.500 0.088 0.283
Pd 0.000 0.812 0.188
Pd 0.500 0.717 0.912
Pd 0.500 0.500 0.500
Pb 0.500 0.309 0.691
! energy of formation from the pure elements: 0.09 eV/atom
! space group: No. 65